## CrReSnSe2 (GGA-PBEsol)

Data for a relaxed structure of CrReSnSe2.

Summary:
formation energy without anion corrections	2.05	eV/atom

abc: 5.2371 5.2371 5.0302
angles: 90.00 90.00 90.00
Closest atoms and distances in Å follow each position.
Fractional coordinates of all 5 atoms:
Cr 0.0000 0.0000 0.0000  2 Sn 2.52
Re 0.5000 0.5000 0.0000  8 Se 3.63, 4 Cr 3.70
Sn 0.0000 0.0000 0.5000  2 Cr 2.52, 4 Se 2.62
Se 0.0000 0.5000 0.5000  2 Sn 2.62
Se 0.5000 0.0000 0.5000  2 Sn 2.62